[1]
TcAgSN2: optimized geometry, PBE.

Geometry as CIF:
```
data_TcAgSN2
_space_group_name_H-M_alt 'P 4/m m m'
_space_group_IT_number 123
_space_group_name_Hall '-P 4 2'
_cell_length_a 3.903
_cell_length_b 3.903
_cell_length_c 6.364
_cell_angle_alpha 90.00
_cell_angle_beta 90.00
_cell_angle_gamma 90.00
loop_
_atom_site_label
_atom_site_type_symbol
_atom_site_fract_x
_atom_site_fract_y
_atom_site_fract_z
Tc1 Tc 0.000 0.000 0.000
Ag1 Ag 0.500 0.500 0.500
S1 S 0.500 0.500 0.000
N1 N 0.000 0.500 0.500
```

Summary:
The calculation puts the offset from the most stable computed form at 1647 meV per atom. The energy relative to the elements, uncorrected comes out at 2.21 eV per atom. The value obtained for the electronic total energy is -23.0 eV/cell.

---

[2]
TcAg2SN: optimized geometry, PBE.

Geometry as CIF:
```
data_TcAg2SN
_space_group_name_H-M_alt 'P 4/m m m'
_space_group_IT_number 123
_space_group_name_Hall '-P 4 2'
_cell_length_a 4.581
_cell_length_b 4.581
_cell_length_c 3.875
_cell_angle_alpha 90.00
_cell_angle_beta 90.00
_cell_angle_gamma 90.00
loop_
_atom_site_label
_atom_site_type_symbol
_atom_site_fract_x
_atom_site_fract_y
_atom_site_fract_z
Tc1 Tc 0.000 0.000 0.000
Ag1 Ag 0.000 0.500 0.500
S1 S 0.500 0.500 0.000
N1 N 0.000 0.000 0.500
```

Summary:
The energy relative to the elements, uncorrected comes out at 0.64 eV per atom. The value obtained for the electronic total energy is -25.3 eV/cell.